SrEu: relaxed, PBE.

Calculated values
The calculation puts the total energy at -0.436 Ry/atom. Its offset from the most stable computed form is 0.010 eV per atom. The density of states at the Fermi level comes out at 10.25 states/eV/cell. The magnetic moment comes out at 7.6 μB per formula unit. As for the space group: Pm-3m. For the formation energy, the calculation gives 0.040 eV/atom.

a b c (Å): 4.6044 4.6044 4.6044
angles (deg): 90.00 90.00 90.00
Element x y z (fractional)
Sr  0.0000  0.0000  0.0000
Eu  0.5000  0.5000  0.5000